Entry 1:
VASP calculation (PBE-GGA) on an optimized crystal structure of NiAsIr.

Cell lengths 4.983, 4.983, 4.983 Å; angles 144.76, 144.76, 50.69 degrees
Fractional coordinates of all 3 atoms:
Ir  0.341  0.341  0.000
As  0.010  0.010  0.000
Ni  0.649  0.649  0.000

## Properties
N(E_F) = 0.8601 states/eV/atom
distance to the lowest polymorph of the same formula = 185 meV/atom
energy relative to the elements = 0.08 eV/atom

=====

Entry 2:
VASP calculation (PBE-GGA) on an optimized crystal structure of Ni3AsIr.

Cell lengths 4.523, 4.523, 4.523 Å; angles 90.00, 90.00, 90.00 degrees
Last column: magnetic moment on the atom in μB.
Fractional coordinates of all 5 atoms:
As  0.500  0.500  0.500  -0.01
Ni  0.000  0.500  0.000  0.54
Ni  0.500  0.000  0.000  0.26
Ni  0.000  0.000  0.500  0.90
Ir  0.000  0.000  0.000  0.58

## Properties
N(E_F) = 1.5450 states/eV/atom
distance to the lowest polymorph of the same formula = 401 meV/atom
energy relative to the elements = 1.23 eV/atom

=====

Entry 3:
VASP calculation (PBE-GGA) on an optimized crystal structure of Np2Ni4As3Ir.

Cell lengths 3.912, 3.912, 10.430 Å; angles 90.00, 90.00, 90.00 degrees
Last column: magnetic moment on the atom in μB.
Fractional coordinates of all 10 atoms:
Ni  0.500  0.000  0.654  -0.14
Ni  0.000  0.000  0.000  -0.08
Ni  0.500  0.500  0.000  -0.05
Ni  0.000  0.500  0.346  -0.14
As  0.000  0.000  0.500  -0.05
As  0.500  0.000  0.873  -0.04
As  0.000  0.500  0.127  -0.04
Np  0.000  0.500  0.743  3.57
Np  0.500  0.000  0.257  3.57
Ir  0.500  0.500  0.500  -0.20

## Properties
N(E_F) = 2.4291 states/eV/atom
energy relative to the elements = -0.37 eV/atom

=====

- Look up the energy relative to the elements of the first one.
  0.08 eV/atom